Crystalline HoCo3B2 at its relaxed geometry. Source: the Alexandria database, functional PBEsol.

The space group is P6/mmm (No. 191) and the conventional cell measures 4.9229, 4.9229 and 2.9788 Å, with angles of 90.00, 90.00 and 120.00 degrees. The asymmetric unit holds Ho at (0.0000, 0.0000, 0.0000), Co at (0.0000, 0.5000, 0.5000) and B at (0.3333, 0.6667, 0.0000).

As for the spin magnetization: 0.0 μB per formula unit. For the volume, the calculation gives 10.420 Å³/atom. The formation energy comes out at -0.59 eV/atom.


Crystalline HoCo12B6 at its relaxed geometry. Source: the Alexandria database, functional PBEsol.

The space group is R-3m (No. 166, hexagonal axes) and the conventional cell measures 9.2592, 9.2592 and 7.2979 Å, with angles of 90.00, 90.00 and 120.00 degrees. The asymmetric unit holds Ho at (0.0000, 0.0000, 0.0000), Co at (0.0000, 0.3680, 0.5000), Co at (0.0897, 0.1794, 0.3652) and B at (0.0356, 0.5178, 0.2843).

As for the spin magnetization: 6.3 μB per formula unit. For the volume, the calculation gives 9.506 Å³/atom. The formation energy comes out at -0.41 eV/atom.


Crystalline Ho2Co7B3 at its relaxed geometry. Source: the Alexandria database, functional PBEsol.

The space group is P6/mmm (No. 191) and the conventional cell measures 4.9989, 4.9989 and 12.8023 Å, with angles of 90.00, 90.00 and 120.00 degrees. The asymmetric unit holds Ho at (0.0000, 0.0000, 0.0000), Ho at (0.0000, 0.0000, 0.2393), Ho at (0.0000, 0.0000, 0.5000), Co at (0.0000, 0.5000, 0.1163), Co at (0.0000, 0.5000, 0.3461), Co at (0.3333, 0.6667, 0.5000), B at (0.3333, 0.6667, 0.0000) and B at (0.3333, 0.6667, 0.2320).

As for the spin magnetization: 3.3 μB per formula unit. For the volume, the calculation gives 11.544 Å³/atom. The formation energy comes out at -0.47 eV/atom.


Crystalline HoCoB4 at its relaxed geometry. Source: the Alexandria database, functional PBEsol.

The space group is Pbam (No. 55) and the conventional cell measures 5.846, 11.323 and 3.314 Å, with angles of 90.00, 90.00 and 90.00 degrees. The asymmetric unit holds Ho at (0.128, 0.150, 0.000), Co at (0.134, 0.411, 0.000), B at (0.023, 0.691, 0.500), B at (0.111, 0.546, 0.500), B at (0.138, 0.967, 0.500) and B at (0.217, 0.815, 0.500).

As for the spin magnetization: 0.0 μB per formula unit. For the volume, the calculation gives 9.141 Å³/atom. The formation energy comes out at -0.68 eV/atom.